## Nd4InHg (PBE)

Data for a relaxed Nd4InHg crystal.

```
data_Nd4InHg
_cell_length_a 5.258
_cell_length_b 5.258
_cell_length_c 7.600
_cell_angle_alpha 90.00
_cell_angle_beta 90.00
_cell_angle_gamma 90.00
_symmetry_space_group_name_H-M 'P 4/m m m'
_symmetry_Int_Tables_number 123
_symmetry_space_group_name_Hall '-P 4 2'
loop_
_atom_site_label
_atom_site_fract_x
_atom_site_fract_y
_atom_site_fract_z
_atom_site_occupancy
Nd1 0.000 0.500 0.245 1
In1 0.000 0.000 0.500 1
Hg1 0.500 0.500 0.000 1
```

Properties
Its total magnetic moment is 0.03 μB per formula unit. The calculation puts the formation energy at -0.6 eV per formula unit. Its calculated volume is 210 Å³/cell.



## TaNbAg2P (PBE)

Data for a relaxed TaNbAg2P crystal.

```
data_TaNbAg2P
_cell_length_a 5.108
_cell_length_b 5.108
_cell_length_c 4.810
_cell_angle_alpha 90.00
_cell_angle_beta 90.00
_cell_angle_gamma 90.00
_symmetry_space_group_name_H-M 'P 4/m m m'
_symmetry_Int_Tables_number 123
_symmetry_space_group_name_Hall '-P 4 2'
loop_
_atom_site_label
_atom_site_fract_x
_atom_site_fract_y
_atom_site_fract_z
_atom_site_occupancy
Ta1 0.000 0.000 0.000 1
Nb1 0.000 0.000 0.500 1
Ag1 0.000 0.500 0.000 1
P1 0.500 0.500 0.500 1
```

Properties
Its total magnetic moment is 0.43 μB per formula unit. The calculation puts the formation energy at 8.5 eV per formula unit. Its calculated volume is 125 Å³/cell.



## HfSc3Ti (PBE)

Data for a relaxed HfSc3Ti crystal.

```
data_HfSc3Ti
_cell_length_a 4.923
_cell_length_b 4.923
_cell_length_c 4.923
_cell_angle_alpha 90.00
_cell_angle_beta 90.00
_cell_angle_gamma 90.00
_symmetry_space_group_name_H-M 'P m -3 m'
_symmetry_Int_Tables_number 221
_symmetry_space_group_name_Hall '-P 4 2 3'
loop_
_atom_site_label
_atom_site_fract_x
_atom_site_fract_y
_atom_site_fract_z
_atom_site_occupancy
Hf1 0.000 0.000 0.000 1
Sc1 0.000 0.500 0.500 1
Ti1 0.500 0.500 0.500 1
```

Properties
The distance to the lowest polymorph of the same formula comes out at 0.000 eV/atom. Its total magnetic moment is 0.00 μB per formula unit. The calculation puts the formation energy at 3.6 eV per formula unit. Its calculated volume is 119 Å³/cell.



## Be2TlHg2 (PBE)

Data for a relaxed Be2TlHg2 crystal.

```
data_Be2TlHg2
_cell_length_a 4.152
_cell_length_b 4.152
_cell_length_c 11.649
_cell_angle_alpha 90.00
_cell_angle_beta 90.00
_cell_angle_gamma 90.00
_symmetry_space_group_name_H-M 'I 4/m m m'
_symmetry_Int_Tables_number 139
_symmetry_space_group_name_Hall '-I 4 2'
loop_
_atom_site_label
_atom_site_fract_x
_atom_site_fract_y
_atom_site_fract_z
_atom_site_occupancy
Be1 0.000 0.500 0.250 1
Tl1 0.000 0.000 0.000 1
Hg1 0.000 0.000 0.365 1
```

Properties
Its total magnetic moment is 0.00 μB per formula unit. The calculation puts the formation energy at 2.2 eV per formula unit. Its calculated volume is 201 Å³/cell.



## Tm6PuRu5 (PBE)

Data for a relaxed Tm6PuRu5 crystal.

```
data_Tm6PuRu5
_cell_length_a 4.774
_cell_length_b 6.970
_cell_length_c 14.529
_cell_angle_alpha 90.00
_cell_angle_beta 90.00
_cell_angle_gamma 90.00
_symmetry_space_group_name_H-M 'I m m m'
_symmetry_Int_Tables_number 71
_symmetry_space_group_name_Hall '-I 2 2'
loop_
_atom_site_label
_atom_site_fract_x
_atom_site_fract_y
_atom_site_fract_z
_atom_site_occupancy
Tm1 0.000 0.222 0.000 1
Tm2 0.000 0.263 0.325 1
Pu1 0.000 0.000 0.500 1
Ru1 0.000 0.000 0.168 1
Ru2 0.000 0.500 0.153 1
Ru3 0.000 0.500 0.500 1
```

Properties
Its total magnetic moment is 5.64 μB per formula unit. The calculation puts the formation energy at -3.4 eV per formula unit. Its calculated volume is 483 Å³/cell.



## MnCrTe (PBE)

Data for a relaxed MnCrTe crystal.

```
data_MnCrTe
_cell_length_a 4.2920
_cell_length_b 4.2920
_cell_length_c 3.4303
_cell_angle_alpha 90.00
_cell_angle_beta 90.00
_cell_angle_gamma 120.00
_symmetry_space_group_name_H-M 'P 3 m 1'
_symmetry_Int_Tables_number 156
loop_
_symmetry_equiv_pos_as_xyz
'x,y,z'
'-y,x-y,z'
'-x+y,-x,z'
'-y,-x,z'
'-x+y,y,z'
'x,x-y,z'
loop_
_atom_site_label
_atom_site_fract_x
_atom_site_fract_y
_atom_site_fract_z
_atom_site_occupancy
Mn1 0.0000 0.0000 0.0000 1
Cr1 0.3333 0.6667 0.6140 1
Te1 0.6667 0.3333 0.2603 1
```

Properties
The distance to the lowest polymorph of the same formula comes out at 0.650 eV/atom. The calculation puts the formation energy (no corrections) at 1.97 eV/f.u. Its total magnetic moment is 6.55 μB per formula unit. Its calculated volume is 55 Å³/cell.



> Among the records above, which one has the highest calculated volume?

Tm6PuRu5



> What is the formula in the fifth record?

Tm6PuRu5